Here is a relaxed structure of Ba2GeO4 from Alexandria via LeMat-Bulk. Energies are from PBE-GGA.

The value obtained for the uncorrected formation energy is -2.12 eV per atom. Its total energy is -6.163 eV per atom.

Cell: 8.874 8.874 7.312 Å, 90.00 90.00 90.00°
Space group P4/ncc (No. 130, origin choice 2)
Asymmetric unit:
Ba: 0.064 0.564 0.250
Ge: 0.250 0.250 0.050
O: 0.048 0.198 0.556